# 1
## NpAgSeO5 (GGA-PBE)

Data for a geometry-optimized NpAgSeO5 structure.

Unit cell a=7.213 b=8.450 c=8.458 alpha=89.57 beta=77.24 gamma=77.60
Space group P-1 (No. 2)
Asymmetric unit:
Np  0.006  0.241  0.242 (multiplicity 2)
Np  0.115  0.241  0.715 (multiplicity 2)
Ag  0.309  0.496  0.977 (multiplicity 2)
Ag  0.378  0.908  0.904 (multiplicity 2)
Se  0.347  0.845  0.288 (multiplicity 2)
Se  0.411  0.381  0.365 (multiplicity 2)
O  0.003  0.779  0.535 (multiplicity 2)
O  0.025  0.271  0.015 (multiplicity 2)
O  0.092  0.468  0.702 (multiplicity 2)
O  0.133  0.014  0.734 (multiplicity 2)
O  0.234  0.708  0.215 (multiplicity 2)
O  0.280  0.012  0.172 (multiplicity 2)
O  0.295  0.340  0.214 (multiplicity 2)
O  0.349  0.679  0.750 (multiplicity 2)
O  0.388  0.220  0.487 (multiplicity 2)
O  0.415  0.225  0.819 (multiplicity 2)

Output
DOS(E_F) = 5.1 states/eV per cell
energy above the lowest structure with this stoichiometry = 0 meV/atom
spin magnetization = 0.250 μB per atom
raw total energy = -7.092 eV/atom



# 2
## PrPaRhS4 (GGA-PBE)

Data for a geometry-optimized PrPaRhS4 structure.

Unit cell a=6.502 b=5.787 c=7.959 alpha=90.00 beta=105.38 gamma=90.00
Space group P2_1/m (No. 11)
Asymmetric unit:
Pr  0.246  0.250  0.441 (multiplicity 2)
Pa  0.250  0.250  0.943 (multiplicity 2)
Rh  0.266  0.750  0.154 (multiplicity 2)
S  0.052  0.750  0.880 (multiplicity 2)
S  0.061  0.750  0.369 (multiplicity 2)
S  0.466  0.516  0.752 (multiplicity 4)

Output
DOS(E_F) = 6.7 states/eV per cell
spin magnetization = 0.000 μB per atom
raw total energy = -6.850 eV/atom



# 3
## AsIrSBr2 (GGA-PBE)

Data for a geometry-optimized AsIrSBr2 structure.

Unit cell a=4.725 b=4.725 c=5.408 alpha=90.00 beta=90.00 gamma=90.00
Space group P4/mmm (No. 123)
Asymmetric unit:
As  0.000  0.000  0.000 (multiplicity 1)
Ir  0.500  0.500  0.000 (multiplicity 1)
S  0.000  0.000  0.500 (multiplicity 1)
Br  0.000  0.500  0.500 (multiplicity 2)

Output
DOS(E_F) = 7.8 states/eV per cell
energy above the lowest structure with this stoichiometry = 706 meV/atom
spin magnetization = 0.317 μB per atom
raw total energy = -2.763 eV/atom



# 4
## Na2NiAu (GGA-PBE)

Data for a geometry-optimized Na2NiAu structure.

Unit cell a=6.754 b=6.754 c=6.754 alpha=90.00 beta=90.00 gamma=90.00
Space group Fm-3m (No. 225)
Asymmetric unit:
Na  0.250  0.250  0.250 (multiplicity 8)
Ni  0.000  0.000  0.000 (multiplicity 4)
Au  0.000  0.000  0.500 (multiplicity 4)

Output
ΔH_f (0 K) = 1.14 eV per formula unit
DOS(E_F) = 9.1 states/eV per cell
energy above the lowest structure with this stoichiometry = 4 meV/atom
spin magnetization = 0.084 μB per atom
raw total energy = -2.639 eV/atom